DFT (PBE) results for RbTiTe2 after structural relaxation.

Output
Symmetry = R3m (160)
Calculated density = 5.1 g cm⁻³
ΔE_f (raw) = -808 meV per atom
Volume = 127.6 Å³ per cell
Size of the total moment = 1.009 μB per cell

Geometry as POSCAR:
```
RbTiTe2
1.0
-2.697 3.111 -0.497
-0.935 1.345 -3.810
-7.644 -4.157 -1.849
Rb Ti Te
1 1 2
Direct
0.499 0.499 0.502 Rb
0.667 0.667 0.999 Ti
0.061 0.061 0.816 Te
0.272 0.272 0.183 Te
```

=====

DFT (PBE) results for CdTc2Ir after structural relaxation.

Output
E_form = 0.199 eV per atom
Symmetry = P4/mmm (123)
Calculated density = 13.2 g cm⁻³
Volume = 63.1 Å³ per cell
Size of the total moment = 0.462 μB per cell

Geometry as POSCAR:
```
CdTc2Ir
1.0
-2.235 0.525 1.511
1.382 -0.675 2.279
2.450 7.936 0.866
Cd Ir Tc
1 1 2
Direct
0.500 0.500 0.250 Cd
0.500 0.500 0.750 Ir
0.000 0.000 0.979 Tc
0.000 0.000 0.521 Tc
```

=====

DFT (PBE) results for BeAg3 after structural relaxation.

Output
E_form = 0.231 eV per atom
Symmetry = P4/mmm (123)
Calculated density = 8.7 g cm⁻³
Volume = 63.5 Å³ per cell
Size of the total moment = 0.000 μB per cell

Geometry as POSCAR:
```
BeAg3
1.0
3.947 0.000 0.000
0.000 3.947 0.000
0.000 0.000 4.078
Be Ag
1 3
Direct
0.000 0.500 0.500 Be
0.000 0.000 0.000 Ag
0.500 0.000 0.500 Ag
0.500 0.500 0.000 Ag
```

=====

DFT (PBE) results for RuPb2Se after structural relaxation.

Output
Symmetry = R-3m (166)
Calculated density = 10.5 g cm⁻³
ΔE_f (raw) = 287 meV per atom
Volume = 93.9 Å³ per cell
Size of the total moment = 0.000 μB per cell

Geometry as POSCAR:
```
RuPb2Se
1.0
-4.747 -0.973 6.414
-5.615 -3.890 4.238
-2.599 -4.036 6.448
Pb Ru Se
2 1 1
Direct
0.994 0.994 0.994 Pb
0.506 0.506 0.506 Pb
0.250 0.250 0.250 Ru
0.750 0.750 0.750 Se
```

=====

DFT (PBE) results for Cd2HgHPd after structural relaxation.

Output
Energy above the most stable polymorph in this dataset = 0.047 eV per atom
Symmetry = P4/mmm (123)
Calculated density = 8.8 g cm⁻³
Volume = 100.4 Å³ per cell
Size of the total moment = 0.000 μB per cell

Geometry as POSCAR:
```
Cd2HgHPd
1.0
5.432 0.000 0.000
0.000 5.432 0.000
0.000 0.000 3.403
H Hg Pd Cd
1 1 1 2
Direct
0.000 0.000 0.500 H
0.500 0.500 0.500 Hg
0.000 0.000 0.000 Pd
0.000 0.500 0.000 Cd
0.500 0.000 0.000 Cd
```

=====

DFT (PBE) results for Cs2Rb4AgAu2 after structural relaxation.

Output
E_form = -0.101 eV per atom
Symmetry = P-1 (2)
Calculated density = 3.4 g cm⁻³
Volume = 542.4 Å³ per cell
Size of the total moment = 0.000 μB per cell

Geometry as POSCAR:
```
Cs2Rb4AgAu2
1.0
6.690 -0.459 -0.051
-1.900 8.005 0.288
-2.516 -3.599 10.185
Cs Rb Ag Au
2 4 1 2
Direct
0.035 0.670 0.313 Cs
0.965 0.330 0.687 Cs
0.506 0.779 0.073 Rb
0.692 0.753 0.691 Rb
0.494 0.221 0.927 Rb
0.308 0.247 0.309 Rb
0.000 0.000 0.000 Ag
0.050 0.351 0.018 Au
0.950 0.649 0.982 Au
```

=====

DFT (PBE) results for CdSbTeN2 after structural relaxation.

Output
Energy above the most stable polymorph in this dataset = 0.000 eV per atom
Symmetry = P4/mmm (123)
Calculated density = 6.0 g cm⁻³
ΔE_f (raw) = 1085 meV per atom
Volume = 107.9 Å³ per cell
Size of the total moment = 1.227 μB per cell

Geometry as POSCAR:
```
CdSbTeN2
1.0
4.121 0.000 0.000
0.000 4.121 0.000
0.000 0.000 6.355
Sb N Te Cd
1 2 1 1
Direct
0.000 0.000 0.000 Sb
0.000 0.500 0.000 N
0.500 0.000 0.000 N
0.000 0.000 0.500 Te
0.500 0.500 0.500 Cd
```

=====

DFT (PBE) results for ZnPt2W after structural relaxation.

Output
E_form = -0.254 eV per atom
Symmetry = Cm (8)
Calculated density = 17.3 g cm⁻³
Volume = 61.5 Å³ per cell
Size of the total moment = 0.000 μB per cell

Geometry as POSCAR:
```
ZnPt2W
1.0
-1.856 -0.494 -4.421
-3.835 -1.261 -2.634
-2.009 4.402 -0.335
Pt W Zn
2 1 1
Direct
0.000 0.000 0.035 Pt
0.752 0.752 0.715 Pt
0.496 0.496 0.530 W
0.252 0.252 0.220 Zn
```

=====

DFT (PBE) results for LaMnH2N after structural relaxation.

Output
Symmetry = P4/mmm (123)
Calculated density = 6.7 g cm⁻³
Volume = 51.8 Å³ per cell
Electronic total energy = -6.471 eV per atom
Size of the total moment = 0.365 μB per cell

Geometry as POSCAR:
```
LaMnH2N
1.0
-2.038 0.528 3.067
-2.887 -1.688 -1.628
1.168 -3.294 1.344
H N Mn La
2 1 1 1
Direct
0.000 0.500 0.000 H
0.500 0.000 0.000 H
0.000 0.000 0.500 N
0.000 0.000 0.000 Mn
0.500 0.500 0.500 La
```

=====

DFT (PBE) results for CaZnPd3 after structural relaxation.

Output
Energy above the most stable polymorph in this dataset = 0.000 eV per atom
E_form = -0.518 eV per atom
Symmetry = Imma (74)
Calculated density = 7.6 g cm⁻³
Volume = 185.6 Å³ per cell
Size of the total moment = 0.000 μB per cell

Geometry as POSCAR:
```
CaZnPd3
1.0
-4.269 2.710 2.120
-0.787 -6.175 6.309
4.901 3.718 -1.975
Ca Zn Pd
2 2 6
Direct
0.250 0.248 0.500 Ca
0.750 0.752 0.500 Ca
0.000 0.500 0.000 Zn
0.500 0.000 0.000 Zn
0.809 0.309 0.118 Pd
0.309 0.309 0.118 Pd
0.691 0.691 0.882 Pd
0.191 0.691 0.882 Pd
0.250 0.934 0.500 Pd
0.750 0.066 0.500 Pd
```

=====

DFT (PBE) results for Tm2Co2B3 after structural relaxation.

Output
E_form = -0.300 eV per atom
Symmetry = C2/m (12)
Calculated density = 8.7 g cm⁻³
Volume = 92.9 Å³ per cell
Size of the total moment = 0.001 μB per cell

Geometry as POSCAR:
```
Tm2Co2B3
1.0
-3.715 0.403 0.563
1.461 -4.814 0.406
1.033 2.793 4.823
Tm Co B
2 2 3
Direct
0.885 0.769 0.204 Tm
0.115 0.231 0.796 Tm
0.796 0.593 0.643 Co
0.204 0.407 0.357 Co
0.500 0.000 0.000 B
0.620 0.241 0.302 B
0.380 0.759 0.698 B
```

=====

DFT (PBE) results for RbSm2Dy after structural relaxation.

Output
E_form = 0.263 eV per atom
Symmetry = R-3m (166)
Calculated density = 5.8 g cm⁻³
Volume = 156.0 Å³ per cell
Size of the total moment = 0.000 μB per cell

Geometry as POSCAR:
```
RbSm2Dy
1.0
3.663 0.000 0.000
1.832 3.173 0.000
1.832 1.058 13.424
Rb Sm Dy
1 2 1
Direct
0.000 0.000 0.000 Rb
0.096 0.096 0.711 Sm
0.904 0.904 0.289 Sm
0.500 0.500 0.500 Dy
```